Below is crystalline Ce5In4Hg at its relaxed geometry, with properties calculated at the PBE-GGA level.

abc: 4.1386 4.1386 16.2147
angles: 90.00 90.00 90.00
With the nearest neighbours (Å) after each atom.
Element x y z (fractional)
In (0.0000, 0.0000, 0.2022)  1 In 3.22, 1 Hg 3.28, 8 Ce 3.35-3.37
In (0.0000, 0.0000, 0.5992)  2 In 3.22, 8 Ce 3.33-3.34
In (0.0000, 0.0000, 0.7978)  1 In 3.22, 1 Hg 3.28, 8 Ce 3.35-3.37
In (0.0000, 0.0000, 0.4008)  2 In 3.22, 8 Ce 3.33-3.34
Ce (0.5000, 0.5000, 0.3031)  2 Ce 3.19-3.30, 8 In 3.33-3.35
Ce (0.5000, 0.5000, 0.6969)  2 Ce 3.19-3.30, 8 In 3.33-3.35
Ce (0.5000, 0.5000, 0.9004)  2 Ce 3.23-3.30, 4 Hg 3.34, 4 In 3.37
Ce (0.5000, 0.5000, 0.0996)  2 Ce 3.23-3.30, 4 Hg 3.34, 4 In 3.37
Ce (0.5000, 0.5000, 0.5000)  2 Ce 3.19, 8 In 3.34
Hg (0.0000, 0.0000, 0.0000)  2 In 3.28, 8 Ce 3.34

**V**: 277.7 Å³ per cell
**Energy relative to the elements**: -299 meV/atom

---

Below is crystalline PrThCo at its relaxed geometry, with properties calculated at the PBE-GGA level.

abc: 3.5493 3.5493 6.4353
angles: 106.01 106.01 90.00
With the nearest neighbours (Å) after each atom.
Element x y z (fractional)
Th (0.2948, 0.2948, 0.5896)  4 Co 2.79
Pr (0.0122, 0.0122, 0.0245)  4 Co 3.30, 5 Th 3.35-3.60, 4 Pr 3.55
Co (0.6930, 0.6930, 0.3859)  4 Th 2.79

**V**: 74.6 Å³ per cell
**Energy above the lowest structure with this stoichiometry**: 105 meV/atom
**Energy relative to the elements**: -31 meV/atom